Record 1
Here is a relaxed SiNiSb2Te crystal from Alexandria via LeMat-Bulk. Energies are from PBE.

Cell and atoms, written as extended XYZ:
```
5
Lattice="5.1503 0.0000 0.0000 0.0000 5.1503 0.0000 0.0000 0.0000 5.1568" Properties=species:S:1:pos:R:3 pbc="T T T"
Te 0.0000 0.0000 2.5784
Si 0.0000 0.0000 0.0000
Ni 2.5752 2.5752 2.5784
Sb 2.5752 0.0000 0.0000
Sb 0.0000 2.5752 0.0000
```

Properties
The value obtained for the magnetization is 0.5 μB per cell. For the distance to the lowest polymorph of the same formula, the calculation gives 430.2 meV per atom. For the raw formation energy, the calculation gives 0.995 eV per atom. For the total energy, the calculation gives -3.5230 eV/atom. As for the crystal system: tetragonal. The symmetry is P4/mmm (123).

=====

Record 2
Here is a relaxed ZrReRh2 crystal from Alexandria via LeMat-Bulk. Energies are from PBE.

Cell and atoms, written as extended XYZ:
```
4
Lattice="4.8484 -0.0055 0.0136 3.9998 2.7402 0.0136 0.8847 0.2734 4.8444" Properties=species:S:1:pos:R:3 pbc="T T T"
Rh 7.2599 2.2438 3.6246
Rh 8.8526 2.7360 0.1821
Zr 4.8879 1.5107 2.5449
Re 2.4470 0.7563 0.9830
```

Properties
The value obtained for the magnetization is 0.0 μB per cell. The formation energy is -0.2744 eV/atom. For the distance to the lowest polymorph of the same formula, the calculation gives 66.6 meV per atom. For the total energy, the calculation gives -9.1991 eV/atom. As for the crystal system: monoclinic. The symmetry is Cm (8).